Entry 1:
## PrThMg2 (PBE)

Data for a relaxed structure of PrThMg2.

E above lowest polymorph: 0.06 eV/f.u.
Crystal system: cubic
Volume: 28.97 Å³ per atom
Space group: Fm-3m (225)
E_form: 0.006 eV/atom

a b c (Å): 5.4724 5.4724 5.4724
angles (deg): 60.00 60.00 60.00
Atoms (fractional coordinates):
Pr  0.0000  0.0000  0.0000
Mg  0.2500  0.2500  0.2500
Mg  0.7500  0.7500  0.7500
Th  0.5000  0.5000  0.5000

Entry 2:
## Pr4ThMg (PBE)

Data for a relaxed structure of Pr4ThMg.

Crystal system: tetragonal
Volume: 33.54 Å³ per atom
Space group: P4/mmm (123)
E_form: -0.002 eV/atom

a b c (Å): 3.6581 3.6581 15.0395
angles (deg): 90.00 90.00 90.00
Atoms (fractional coordinates):
Pr  0.5000  0.5000  0.1664
Pr  0.0000  0.0000  0.6506
Pr  0.0000  0.0000  0.3494
Pr  0.5000  0.5000  0.8336
Th  0.0000  0.0000  0.0000
Mg  0.5000  0.5000  0.5000

Entry 3:
## PrTh2Mg (PBE)

Data for a relaxed structure of PrTh2Mg.

E above lowest polymorph: 0.19 eV/f.u.
Crystal system: tetragonal
Volume: 31.44 Å³ per atom
Space group: P4/mmm (123)
E_form: 0.116 eV/atom

a b c (Å): 3.5434 3.5434 10.0175
angles (deg): 90.00 90.00 90.00
Atoms (fractional coordinates):
Pr  0.5000  0.5000  0.5000
Mg  0.5000  0.5000  0.0000
Th  0.0000  0.0000  0.7667
Th  0.0000  0.0000  0.2333